# PBE CaBIrRh2, optimized geometry
data_CaBIrRh2
_symmetry_space_group_name_H-M 'P 4/m m m'
_symmetry_Int_Tables_number 123
_symmetry_space_group_name_Hall '-P 4 2'
_cell_length_a 4.2224
_cell_length_b 4.2224
_cell_length_c 4.1875
_cell_angle_alpha 90.00
_cell_angle_beta 90.00
_cell_angle_gamma 90.00
loop_
_atom_site_label
_atom_site_type_symbol
_atom_site_fract_x
_atom_site_fract_y
_atom_site_fract_z
_atom_site_occupancy
Ca1 Ca 0.0000 0.0000 0.0000 1
B1 B 0.5000 0.5000 0.5000 1
Ir1 Ir 0.5000 0.5000 0.0000 1
Rh1 Rh 0.0000 0.5000 0.5000 1
# Energy of formation: -411 meV per atom
# Calculated volume: 14.9 Å³ per atom
# Total energy: -6.86 eV per atom
# Polymorph energy (0 for the lowest one): 0 meV per atom